No. 1
This record from Alexandria describes Sm4GaSiN after structural relaxation. The functional is PBE.

Output
- formation energy without anion corrections (meV/atom) = -752
- total magnetic moment (μB/f.u.) = 0.00
- space group = Cmcm

abc: 8.4728 8.4728 6.7122
angles: 90.00 90.00 133.33
Fractional coordinates of all 14 atoms:
1 Sm 0.0000 0.5000 0.0000
2 Sm 0.0000 0.5000 0.5000
3 Sm 0.0787 0.9213 0.7500
4 Sm 0.4195 0.5805 0.7500
5 Sm 0.5000 0.0000 0.0000
6 Sm 0.5000 0.0000 0.5000
7 Sm 0.5805 0.4195 0.2500
8 Sm 0.9213 0.0787 0.2500
9 Ga 0.3858 0.6142 0.2500
10 Ga 0.6142 0.3858 0.7500
11 Si 0.1143 0.8857 0.2500
12 Si 0.8857 0.1143 0.7500
13 N 0.2513 0.7487 0.7500
14 N 0.7487 0.2513 0.2500

***

No. 2
This record from Alexandria describes GaSiTeN2 after structural relaxation. The functional is PBE.

Output
- formation energy without anion corrections (meV/atom) = 660
- total magnetic moment (μB/f.u.) = 0.16
- space group = P4/mmm

abc: 3.6247 3.6247 6.5048
angles: 90.00 90.00 90.00
Fractional coordinates of all 5 atoms:
1 Ga 0.0000 0.0000 0.0000
2 Si 0.5000 0.5000 0.5000
3 Te 0.5000 0.5000 0.0000
4 N 0.0000 0.5000 0.5000
5 N 0.5000 0.0000 0.5000

***

No. 3
This record from Alexandria describes GaSiTeN2 after structural relaxation. The functional is PBE.

Output
- formation energy without anion corrections (meV/atom) = 1394
- total magnetic moment (μB/f.u.) = 0.00
- space group = P4/mmm

abc: 3.8685 3.8685 5.9227
angles: 90.00 90.00 90.00
Fractional coordinates of all 5 atoms:
1 Ga 0.0000 0.0000 0.0000
2 Si 0.5000 0.5000 0.5000
3 Te 0.0000 0.0000 0.5000
4 N 0.0000 0.5000 0.0000
5 N 0.5000 0.0000 0.0000

***

No. 4
This record from Alexandria describes Y4GaSiN after structural relaxation. The functional is PBE.

Output
- formation energy without anion corrections (meV/atom) = -873
- total magnetic moment (μB/f.u.) = 0.00
- space group = Cmcm

abc: 8.3277 8.3277 6.5143
angles: 90.00 90.00 133.94
Fractional coordinates of all 14 atoms:
1 Y 0.0000 0.5000 0.0000
2 Y 0.0000 0.5000 0.5000
3 Y 0.0802 0.9198 0.7500
4 Y 0.4188 0.5812 0.7500
5 Y 0.5000 0.0000 0.0000
6 Y 0.5000 0.0000 0.5000
7 Y 0.5812 0.4188 0.2500
8 Y 0.9198 0.0802 0.2500
9 Ga 0.3868 0.6132 0.2500
10 Ga 0.6132 0.3868 0.7500
11 Si 0.1136 0.8864 0.2500
12 Si 0.8864 0.1136 0.7500
13 N 0.2495 0.7505 0.7500
14 N 0.7505 0.2495 0.2500

***

No. 5
This record from Alexandria describes Sm12Ga6N after structural relaxation. The functional is PBE.

Output
- formation energy without anion corrections (meV/atom) = -464
- total magnetic moment (μB/f.u.) = 0.00
- space group = R-3

abc: 8.0855 8.0855 8.0855
angles: 93.94 93.94 93.94
Fractional coordinates of all 19 atoms:
1 Sm 0.0379 0.7045 0.9249
2 Sm 0.0751 0.9621 0.2955
3 Sm 0.1918 0.5452 0.4207
4 Sm 0.2955 0.0751 0.9621
5 Sm 0.4207 0.1918 0.5452
6 Sm 0.4548 0.5793 0.8082
7 Sm 0.5452 0.4207 0.1918
8 Sm 0.5793 0.8082 0.4548
9 Sm 0.7045 0.9249 0.0379
10 Sm 0.8082 0.4548 0.5793
11 Sm 0.9249 0.0379 0.7045
12 Sm 0.9621 0.2955 0.0751
13 Ga 0.1456 0.3523 0.7418
14 Ga 0.2582 0.8544 0.6477
15 Ga 0.3523 0.7418 0.1456
16 Ga 0.6477 0.2582 0.8544
17 Ga 0.7418 0.1456 0.3523
18 Ga 0.8544 0.6477 0.2582
19 N 0.0000 0.0000 0.0000

***

No. 6
This record from Alexandria describes Sm8Ga5N after structural relaxation. The functional is PBE.

Output
- formation energy without anion corrections (meV/atom) = -486
- total magnetic moment (μB/f.u.) = 0.00
- space group = I-4

abc: 7.7983 7.7983 7.7983
angles: 111.22 111.22 106.02
Fractional coordinates of all 14 atoms:
1 Sm 0.0134 0.6838 0.7902
2 Sm 0.2430 0.5009 0.1025
3 Sm 0.3162 0.1064 0.3295
4 Sm 0.3984 0.1405 0.8975
5 Sm 0.4991 0.6016 0.7421
6 Sm 0.7769 0.9866 0.6705
7 Sm 0.8595 0.7570 0.2579
8 Sm 0.8936 0.2231 0.2098
9 Ga 0.1114 0.2392 0.6217
10 Ga 0.2500 0.7500 0.5000
11 Ga 0.5103 0.8886 0.1278
12 Ga 0.6174 0.4897 0.3783
13 Ga 0.7608 0.3826 0.8722
14 N 0.0000 0.0000 0.0000

***

No. 7
This record from Alexandria describes SmGaN after structural relaxation. The functional is PBE.

Output
- formation energy without anion corrections (meV/atom) = -778
- total magnetic moment (μB/f.u.) = 0.00
- space group = I4/mmm

abc: 9.9078 9.9078 9.9078
angles: 159.38 159.38 29.32
Fractional coordinates of all 6 atoms:
1 Sm 0.1856 0.1856 0.0000
2 Sm 0.8144 0.8144 0.0000
3 Ga 0.4233 0.4233 0.0000
4 Ga 0.5767 0.5767 0.0000
5 N 0.3100 0.3100 0.0000
6 N 0.6900 0.6900 0.0000

***

No. 8
This record from Alexandria describes Sm2TaGaN5 after structural relaxation. The functional is PBE.

Output
- formation energy without anion corrections (meV/atom) = -942
- total magnetic moment (μB/f.u.) = 0.00
- space group = Cmc2_1

abc: 7.1503 7.1503 10.1523
angles: 90.00 90.00 153.54
Fractional coordinates of all 18 atoms:
1 Sm 0.1141 0.8859 0.5000
2 Sm 0.1292 0.8708 0.0866
3 Sm 0.8708 0.1292 0.5866
4 Sm 0.8859 0.1141 0.0000
5 Ta 0.2196 0.7804 0.8008
6 Ta 0.7804 0.2196 0.3008
7 Ga 0.4875 0.5125 0.2717
8 Ga 0.5125 0.4875 0.7717
9 N 0.0614 0.9386 0.8424
10 N 0.2867 0.7133 0.4415
11 N 0.2995 0.7005 0.1703
12 N 0.3634 0.6366 0.8023
13 N 0.4999 0.5001 0.0799
14 N 0.5001 0.4999 0.5799
15 N 0.6366 0.3634 0.3023
16 N 0.7005 0.2995 0.6703
17 N 0.7133 0.2867 0.9415
18 N 0.9386 0.0614 0.3424

***

No. 9
This record from Alexandria describes TbSm2GaN after structural relaxation. The functional is PBE.

Output
- formation energy without anion corrections (meV/atom) = -898
- total magnetic moment (μB/f.u.) = 0.00
- space group = P4/mmm

abc: 4.8948 4.8948 4.7831
angles: 90.00 90.00 90.00
Fractional coordinates of all 5 atoms:
1 Tb 0.0000 0.0000 0.0000
2 Sm 0.0000 0.5000 0.5000
3 Sm 0.5000 0.0000 0.5000
4 Ga 0.5000 0.5000 0.0000
5 N 0.0000 0.0000 0.5000

***

No. 10
This record from Alexandria describes Tb2SmGaN after structural relaxation. The functional is PBE.

Output
- formation energy without anion corrections (meV/atom) = -927
- total magnetic moment (μB/f.u.) = 0.00
- space group = P4/mmm

abc: 4.7854 4.7854 4.8891
angles: 90.00 90.00 90.00
Fractional coordinates of all 5 atoms:
1 Tb 0.0000 0.5000 0.0000
2 Tb 0.5000 0.0000 0.0000
3 Sm 0.0000 0.0000 0.5000
4 Ga 0.5000 0.5000 0.5000
5 N 0.0000 0.0000 0.0000

***

No. 11
This record from Alexandria describes Sm2UGaN5 after structural relaxation. The functional is PBE.

Output
- formation energy without anion corrections (meV/atom) = -1149
- total magnetic moment (μB/f.u.) = 0.00
- space group = Cmc2_1

abc: 7.2435 7.2435 10.2808
angles: 90.00 90.00 152.57
Fractional coordinates of all 18 atoms:
1 Sm 0.1058 0.8942 0.5000
2 Sm 0.1230 0.8770 0.1063
3 Sm 0.8770 0.1230 0.6063
4 Sm 0.8942 0.1058 0.0000
5 U 0.2132 0.7868 0.8154
6 U 0.7868 0.2132 0.3154
7 Ga 0.4852 0.5148 0.2791
8 Ga 0.5148 0.4852 0.7791
9 N 0.0570 0.9430 0.8557
10 N 0.2830 0.7170 0.4475
11 N 0.2969 0.7031 0.1849
12 N 0.3673 0.6327 0.8124
13 N 0.4988 0.5012 0.5906
14 N 0.5012 0.4988 0.0906
15 N 0.6327 0.3673 0.3124
16 N 0.7031 0.2969 0.6849
17 N 0.7170 0.2830 0.9475
18 N 0.9430 0.0570 0.3557

***

No. 12
This record from Alexandria describes SmY2GaN after structural relaxation. The functional is PBE.

Output
- formation energy without anion corrections (meV/atom) = -947
- total magnetic moment (μB/f.u.) = 0.00
- space group = P4/mmm

abc: 4.7660 4.7660 4.8918
angles: 90.00 90.00 90.00
Fractional coordinates of all 5 atoms:
1 Sm 0.0000 0.0000 0.0000
2 Y 0.0000 0.5000 0.5000
3 Y 0.5000 0.0000 0.5000
4 Ga 0.5000 0.5000 0.0000
5 N 0.0000 0.0000 0.5000